Entry 1:
# TlHg5Pb8 (PBE, relaxed)
data_TlHg5Pb8
_symmetry_space_group_name_H-M 'I -4'
_symmetry_Int_Tables_number 82
_cell_length_a 12.537
_cell_length_b 12.537
_cell_length_c 5.406
_cell_angle_alpha 90.00
_cell_angle_beta 90.00
_cell_angle_gamma 90.00
loop_
_symmetry_equiv_pos_as_xyz
'x,y,z'
'y,-x,-z'
'-x,-y,z'
'-y,x,-z'
'x+1/2,y+1/2,z+1/2'
'y+1/2,-x+1/2,-z+1/2'
'-x+1/2,-y+1/2,z+1/2'
'-y+1/2,x+1/2,-z+1/2'
loop_
_atom_site_label
_atom_site_fract_x
_atom_site_fract_y
_atom_site_fract_z
_atom_site_occupancy
Tl1 0.000 0.000 0.000 1
Hg1 0.000 0.500 0.750 1
Hg2 0.142 0.163 0.726 1
Pb1 0.071 0.317 0.246 1
Pb2 0.098 0.740 0.758 1
# - formation energy (eV/atom) = 0.04
# - M_tot (μB per formula unit) = 0.00
# - uncorrected energy (eV per atom) = -2.35
# - volume (Å³/cell) = 849.68

***

Entry 2:
# TlHg5Pb6 (PBE, relaxed)
data_TlHg5Pb6
_symmetry_space_group_name_H-M 'C 1 2/m 1'
_symmetry_Int_Tables_number 12
_cell_length_a 10.555
_cell_length_b 14.140
_cell_length_c 5.243
_cell_angle_alpha 90.00
_cell_angle_beta 118.51
_cell_angle_gamma 90.00
loop_
_symmetry_equiv_pos_as_xyz
'x,y,z'
'-x,-y,-z'
'-x,y,-z'
'x,-y,z'
'x+1/2,y+1/2,z'
'-x+1/2,-y+1/2,-z'
'-x+1/2,y+1/2,-z'
'x+1/2,-y+1/2,z'
loop_
_atom_site_label
_atom_site_fract_x
_atom_site_fract_y
_atom_site_fract_z
_atom_site_occupancy
Tl1 0.000 0.000 0.000 1
Hg1 0.000 0.154 0.500 1
Hg2 0.000 0.319 0.000 1
Hg3 0.000 0.500 0.500 1
Pb1 0.230 0.500 0.232 1
Pb2 0.234 0.330 0.734 1
# - formation energy (eV/atom) = 0.03
# - M_tot (μB per formula unit) = 0.00
# - uncorrected energy (eV per atom) = -2.15
# - volume (Å³/cell) = 687.66